{"formula": "AlTl2SnAu6", "functional": "GGA-PBE", "state": "optimized geometry", "e_form_ev_per_atom": -0.083, "rho_g_cm3": 12.1, "n_ef_per_ev_cell": 4.0, "m_tot_mub_per_cell": 0.0, "e_tot_ev_per_cell": -33.0, "lattice_angstrom": [[6.503, 0.000, 0.000], [2.767, 6.208, 0.000], [2.981, 2.334, 5.904]], "species": ["Al", "Tl", "Tl", "Sn", "Au", "Au", "Au", "Au", "Au", "Au"], "frac_coords": [[0.000, 0.000, 0.000], [0.411, 0.215, 0.152], [0.589, 0.785, 0.848], [0.500, 0.500, 0.500], [0.058, 0.401, 0.708], [0.137, 0.872, 0.347], [0.186, 0.688, 0.822], [0.814, 0.312, 0.178], [0.863, 0.128, 0.653], [0.942, 0.599, 0.292]]}

=====

{"formula": "CePuCd2", "functional": "GGA-PBE", "state": "optimized geometry", "e_above_lowest_polymorph_ev_per_fu": 0.311, "e_form_ev_per_atom": -0.031, "rho_g_cm3": 9.2, "n_ef_per_ev_cell": 13.7, "m_tot_mub_per_cell": 7.3, "e_tot_ev_per_cell": -22.2, "lattice_angstrom": [[0.000, 3.801, 3.801], [3.801, 0.000, 3.801], [3.801, 3.801, 0.000]], "species": ["Ce", "Pu", "Cd", "Cd"], "frac_coords": [[0.000, 0.000, 0.000], [0.500, 0.500, 0.500], [0.250, 0.250, 0.250], [0.750, 0.750, 0.750]]}